A geometry-optimized Cu4RhAu structure. Source: Alexandria via LeMat-Bulk, functional GGA-PBE.

Properties
The total energy comes out at -4.48 eV/atom. The calculation puts the calculated density at 11.377 g/cm³. The value obtained for the formation energy is 0.03 eV per atom.

Geometry as POSCAR:
```
Cu4RhAu
1.0
2.790 -0.003 0.227
0.002 3.382 0.009
-0.694 -0.022 8.512
Au Cu Rh
1 4 1
direct
0.500 0.000 0.500 Au
0.500 0.000 0.836 Cu
0.000 0.500 0.685 Cu
0.500 0.000 0.164 Cu
0.000 0.500 0.315 Cu
0.000 0.500 0.000 Rh
```